Entry 1:
# K2SrH6Au2

Crystalline K2SrH6Au2 at its relaxed geometry (PBE-GGA, Alexandria).

```
K2SrH6Au2
1.0
-5.406 1.798 -0.446
1.528 -5.125 -2.571
-0.822 -0.699 7.143
K Au H Sr
2 2 6 1
Direct
0.302 0.603 0.836
0.698 0.397 0.164
0.049 0.098 0.262
0.951 0.902 0.738
0.803 0.113 0.805
0.769 0.537 0.630
0.691 0.887 0.195
0.231 0.463 0.370
0.309 0.113 0.805
0.197 0.887 0.195
0.500 0.000 0.500
```

Computed properties:
For the magnetic moment, the calculation gives 0.00 μB/f.u. As for the total energy: -3.03 eV/atom.


Entry 2:
# Li3Ga2Ag8

Crystalline Li3Ga2Ag8 at its relaxed geometry (PBE-GGA, Alexandria).

```
Li3Ga2Ag8
1.0
-2.144 5.027 0.563
-4.498 0.741 3.068
3.276 3.404 8.901
Ag Li Ga
8 3 2
Direct
0.272 0.775 0.682
0.728 0.225 0.318
0.272 0.272 0.682
0.728 0.728 0.318
0.724 0.724 0.827
0.775 0.272 0.682
0.225 0.728 0.318
0.276 0.276 0.173
0.185 0.185 0.444
0.815 0.815 0.556
0.000 0.000 0.000
0.637 0.637 0.090
0.363 0.363 0.910
```

Computed properties:
For the magnetic moment, the calculation gives 0.00 μB/f.u. Its formation enthalpy at 0 K is -9 meV per atom. Its density of states at the Fermi level is 0.282 states/eV per atom. As for the total energy: -2.67 eV/atom.


Entry 3:
# Cs2TiCu2Se4

Crystalline Cs2TiCu2Se4 at its relaxed geometry (PBE-GGA, Alexandria).

```
Cs2TiCu2Se4
1.0
-5.433 1.219 2.013
-2.238 -4.245 -3.469
1.791 -9.689 10.701
Se Cs Cu Ti
8 4 4 2
Direct
0.260 0.260 0.343
0.740 0.260 0.843
0.260 0.260 0.657
0.260 0.740 0.843
0.740 0.740 0.343
0.260 0.740 0.157
0.740 0.740 0.657
0.740 0.260 0.157
0.757 0.243 0.500
0.243 0.243 0.000
0.243 0.757 0.500
0.757 0.757 0.000
0.500 0.000 0.750
0.000 0.500 0.750
0.000 0.500 0.250
0.500 0.000 0.250
0.500 0.500 0.750
0.500 0.500 0.250
```

Computed properties:
For the magnetic moment, the calculation gives 0.00 μB/f.u. As for the total energy: -4.50 eV/atom. Its energy relative to the elements, uncorrected is -976 meV/atom.


Entry 4:
# Li2In5Pb4

Crystalline Li2In5Pb4 at its relaxed geometry (PBE-GGA, Alexandria).

```
Li2In5Pb4
1.0
3.559 0.000 0.000
0.000 7.991 0.040
0.000 0.272 10.415
In Pb Li
5 4 2
Direct
0.000 0.556 0.689
0.000 0.444 0.311
0.000 0.500 0.000
0.000 0.190 0.831
0.000 0.810 0.169
0.500 0.163 0.113
0.500 0.837 0.887
0.500 0.749 0.446
0.500 0.251 0.554
0.000 0.071 0.359
0.000 0.929 0.641
```

Computed properties:
For the magnetic moment, the calculation gives 0.00 μB/f.u. Its formation enthalpy at 0 K is -48 meV per atom. Its density of states at the Fermi level is 0.487 states/eV per atom. As for the total energy: -2.99 eV/atom.


Entry 5:
# Ca2GdAu

Crystalline Ca2GdAu at its relaxed geometry (PBE-GGA, Alexandria).

```
Ca2GdAu
1.0
3.641 0.000 0.000
0.000 3.641 0.000
0.000 0.000 9.232
Ca Au Gd
2 1 1
Direct
0.000 0.000 0.192
0.000 0.000 0.808
0.500 0.500 0.000
0.500 0.500 0.500
```

Computed properties:
For the magnetic moment, the calculation gives 8.45 μB/f.u. The value obtained for the energy above the most stable polymorph in this dataset is 0.000 eV per atom. Its formation enthalpy at 0 K is -338 meV per atom. Its density of states at the Fermi level is 1.749 states/eV per atom. As for the total energy: -5.68 eV/atom.


Entry 6:
# TbCu2As2

Crystalline TbCu2As2 at its relaxed geometry (PBE-GGA, Alexandria).

```
TbCu2As2
1.0
-5.450 -3.011 -2.185
2.717 -5.217 2.991
-0.834 4.938 3.421
Cu As Tb
4 4 2
Direct
0.514 0.783 0.041
0.217 0.486 0.459
0.783 0.514 0.541
0.486 0.217 0.959
0.577 0.423 0.750
0.423 0.577 0.250
0.157 0.843 0.750
0.843 0.157 0.250
0.130 0.870 0.250
0.870 0.130 0.750
```

Computed properties:
For the magnetic moment, the calculation gives 0.00 μB/f.u. Its formation enthalpy at 0 K is -483 meV per atom. Its density of states at the Fermi level is 0.356 states/eV per atom. As for the total energy: -4.91 eV/atom.


> The highest magnetic moment belongs to which entry?

Ca2GdAu


Please write out number 5 again, unchanged.
# Ca2GdAu

Crystalline Ca2GdAu at its relaxed geometry (PBE-GGA, Alexandria).

```
Ca2GdAu
1.0
3.641 0.000 0.000
0.000 3.641 0.000
0.000 0.000 9.232
Ca Au Gd
2 1 1
Direct
0.000 0.000 0.192
0.000 0.000 0.808
0.500 0.500 0.000
0.500 0.500 0.500
```

Computed properties:
For the magnetic moment, the calculation gives 8.45 μB/f.u. The value obtained for the energy above the most stable polymorph in this dataset is 0.000 eV per atom. Its formation enthalpy at 0 K is -338 meV per atom. Its density of states at the Fermi level is 1.749 states/eV per atom. As for the total energy: -5.68 eV/atom.